1.
VASP calculation (GGA-PBE) on an optimized crystal structure of Pm5Ga2Ni.

Summary:
DFT formation energy in meV per atom: -276
Spin magnetization in μB per cell: 0.00
Space-group type: R-3m, No. 166
N(E_F) in states/eV/f.u.: 10.186

abc: 9.2828 9.2828 9.2828
angles: 32.43 32.43 32.43
Fractional positions:
Pm1 0.0000 0.0000 0.0000
Pm2 0.1322 0.1322 0.1322
Pm3 0.2744 0.2744 0.2744
Pm4 0.7256 0.7256 0.7256
Pm5 0.8678 0.8678 0.8678
Ga1 0.4041 0.4041 0.4041
Ga2 0.5959 0.5959 0.5959
Ni1 0.5000 0.5000 0.5000

2.
VASP calculation (GGA-PBE) on an optimized crystal structure of ZrNiRu.

Summary:
Relative energy among the computed polymorphs in meV/atom: 134
DFT formation energy in meV per atom: -272
Spin magnetization in μB per cell: 0.00
Space-group type: P2_1/m, No. 11
N(E_F) in states/eV/f.u.: 2.175

abc: 4.8309 4.3403 4.8845
angles: 90.00 112.99 90.00
Fractional positions:
Zr1 0.0448 0.2500 0.2450
Zr2 0.9552 0.7500 0.7550
Ni1 0.3696 0.7500 0.5295
Ni2 0.6304 0.2500 0.4705
Ru1 0.3715 0.2500 0.8601
Ru2 0.6285 0.7500 0.1399

3.
VASP calculation (GGA-PBE) on an optimized crystal structure of YPb.

Summary:
DFT formation energy in meV per atom: -56
Spin magnetization in μB per cell: 0.00
Space-group type: I4/mcm, No. 140
N(E_F) in states/eV/f.u.: 2.489

abc: 8.1335 8.1335 8.1335
angles: 98.16 98.16 135.73
Fractional positions:
Y1 0.1310 0.6310 0.7620
Y2 0.3690 0.1310 0.5000
Y3 0.6310 0.8690 0.5000
Y4 0.8690 0.3690 0.2380
Pb1 0.1647 0.3353 0.5000
Pb2 0.3353 0.8353 0.1707
Pb3 0.6647 0.1647 0.8293
Pb4 0.8353 0.6647 0.5000

4.
VASP calculation (GGA-PBE) on an optimized crystal structure of Sr2TlCl.

Summary:
Relative energy among the computed polymorphs in meV/atom: 35
Formation energy without anion corrections in eV/atom: -1.05
Spin magnetization in μB per cell: 0.00
Space-group type: R-3m, No. 166
N(E_F) in states/eV/f.u.: 1.132

abc: 8.8206 8.8206 8.8206
angles: 28.75 28.75 28.75
Fractional positions:
Sr1 0.2473 0.2473 0.2473
Sr2 0.7527 0.7527 0.7527
Tl1 0.0000 0.0000 0.0000
Cl1 0.5000 0.5000 0.5000

5.
VASP calculation (GGA-PBE) on an optimized crystal structure of RbNpTe2Pd.

Summary:
Formation energy without anion corrections in eV/atom: -0.63
Spin magnetization in μB per cell: 7.98
Space-group type: P2/c, No. 13
N(E_F) in states/eV/f.u.: 8.246

abc: 9.2769 4.7939 8.1827
angles: 90.00 98.66 90.00
Fractional positions:
Rb1 0.0000 0.1968 0.2500
Rb2 0.0000 0.8032 0.7500
Np1 0.5000 0.4927 0.7500
Np2 0.5000 0.5073 0.2500
Te1 0.2623 0.3033 0.9627
Te2 0.2623 0.6967 0.4627
Te3 0.7377 0.3033 0.5373
Te4 0.7377 0.6967 0.0373
Pd1 0.5000 0.0000 0.0000
Pd2 0.5000 0.0000 0.5000

6.
VASP calculation (GGA-PBE) on an optimized crystal structure of KSbTe2Cl.

Summary:
Relative energy among the computed polymorphs in meV/atom: 0
Formation energy without anion corrections in eV/atom: 0.17
Spin magnetization in μB per cell: 0.65
Space-group type: P4/mmm, No. 123
N(E_F) in states/eV/f.u.: 5.855

abc: 5.8097 5.8097 5.2656
angles: 90.00 90.00 90.00
Fractional positions:
K1 0.0000 0.0000 0.0000
Sb1 0.5000 0.5000 0.0000
Te1 0.0000 0.5000 0.5000
Te2 0.5000 0.0000 0.5000
Cl1 0.5000 0.5000 0.5000